{"formula": "LaDyP2Ir2O2", "functional": "PBE", "state": "optimized geometry", "cell": [[3.9844, 0.0000, 0.0000], [0.0000, 3.9844, 0.0000], [0.0000, 0.0000, 8.2667]], "species": ["La", "Ir", "Ir", "Dy", "P", "P", "O", "O"], "fractional_positions": [[0.0000, 0.0000, 0.1407], [0.5000, 0.0000, 0.5071], [0.0000, 0.5000, 0.5071], [0.5000, 0.5000, 0.8586], [0.5000, 0.5000, 0.3483], [0.0000, 0.0000, 0.6639], [0.0000, 0.5000, 0.9871], [0.5000, 0.0000, 0.9871]], "total_energy_ev_per_atom": -7.98, "sg": "P4mm (99)"}

{"formula": "LaDy2Zn3Ir2Pt", "functional": "PBE", "state": "optimized geometry", "cell": [[3.9512, 0.0000, 0.0000], [0.0000, 6.2660, 3.6247], [0.0000, -6.2660, 3.6247]], "species": ["Zn", "Dy", "Zn", "Dy", "Pt", "La", "Zn", "Ir", "Ir"], "fractional_positions": [[0.5000, 0.7528, 0.0064], [0.0000, 0.4094, 0.9992], [0.5000, 0.2423, 0.2423], [0.0000, 0.9992, 0.4094], [0.0000, 0.0057, 0.0057], [0.0000, 0.5841, 0.5841], [0.5000, 0.0064, 0.7528], [0.5000, 0.6703, 0.3298], [0.5000, 0.3298, 0.6703]], "delta_e_f_ev_per_atom": -0.768, "total_energy_ev_per_atom": -5.40, "sg": "Amm2 (38)"}

{"formula": "DyLuIr", "functional": "PBE", "state": "optimized geometry", "cell": [[7.1662, 0.0000, 0.0000], [0.0000, 4.5289, 0.0000], [0.0000, 0.0000, 8.6789]], "species": ["Dy", "Ir", "Dy", "Ir", "Dy", "Ir", "Dy", "Lu", "Lu", "Ir", "Lu", "Lu"], "fractional_positions": [[0.5100, 0.7500, 0.8346], [0.2519, 0.2500, 0.9056], [0.9900, 0.2500, 0.3346], [0.7481, 0.7500, 0.0944], [0.4900, 0.2500, 0.1654], [0.2481, 0.7500, 0.4056], [0.0100, 0.7500, 0.6654], [0.1417, 0.7500, 0.0773], [0.6417, 0.7500, 0.4227], [0.7519, 0.2500, 0.5944], [0.3583, 0.2500, 0.5773], [0.8583, 0.2500, 0.9227]], "polymorph_energy_ev_per_atom": 0.000, "delta_e_f_ev_per_atom": -0.790, "total_energy_ev_per_atom": -6.78, "sg": "Pnma (62)"}

{"formula": "DyLuIr", "functional": "PBE", "state": "optimized geometry", "cell": [[0.0000, 3.2974, 3.2974], [3.2974, 0.0000, 3.2974], [3.2974, 3.2974, 0.0000]], "species": ["Dy", "Ir", "Lu"], "fractional_positions": [[0.2500, 0.2500, 0.2500], [0.7500, 0.7500, 0.7500], [0.0000, 0.0000, 0.0000]], "polymorph_energy_ev_per_atom": 0.924, "delta_e_f_ev_per_atom": 0.135, "total_energy_ev_per_atom": -5.86, "sg": "F-43m (216)"}

{"formula": "DyLuIr", "functional": "PBE", "state": "optimized geometry", "cell": [[-5.7675, -1.4763, 3.8959], [1.5284, -4.2752, 0.6427], [4.1806, 2.5715, 7.1634]], "species": ["Dy", "Dy", "Ir", "Ir", "Dy", "Lu", "Ir", "Lu", "Lu", "Ir", "Dy", "Lu"], "fractional_positions": [[0.8568, 0.2500, 0.5822], [0.3568, 0.2500, 0.9178], [0.2611, 0.2500, 0.5931], [0.2389, 0.7500, 0.0931], [0.1432, 0.7500, 0.4178], [0.9917, 0.2500, 0.1609], [0.7389, 0.7500, 0.4069], [0.0083, 0.7500, 0.8391], [0.4917, 0.2500, 0.3391], [0.7611, 0.2500, 0.9069], [0.6432, 0.7500, 0.0822], [0.5083, 0.7500, 0.6609]], "polymorph_energy_ev_per_atom": 0.040, "delta_e_f_ev_per_atom": -0.750, "total_energy_ev_per_atom": -6.74, "sg": "Pnma (62)"}

{"formula": "DyLu6Ir2S2", "functional": "PBE", "state": "optimized geometry", "cell": [[4.3232, 0.0353, 7.6245], [-3.1873, 7.5495, -3.1097], [-0.4634, -7.6660, 4.2239]], "species": ["Lu", "Lu", "Lu", "S", "Lu", "Lu", "Ir", "Lu", "Dy", "S", "Ir"], "fractional_positions": [[0.8716, 0.7331, 0.1385], [0.2897, 0.1086, 0.1811], [0.9274, 0.1086, 0.8189], [0.2373, 0.2373, 0.0000], [0.5137, 0.8936, 0.6201], [0.5946, 0.7331, 0.8615], [0.6682, 0.4089, 0.2592], [0.2735, 0.8936, 0.3799], [0.9814, 0.4814, 0.5000], [0.6390, 0.1390, 0.5000], [0.1497, 0.4089, 0.7408]], "total_energy_ev_per_atom": -6.38, "sg": "Imm2 (44)"}

{"formula": "Dy5Lu2Ir2S2", "functional": "PBE", "state": "optimized geometry", "cell": [[-1.9337, 7.3957, 4.5097], [1.9337, -7.3957, 4.5097], [1.9337, 7.3957, -4.5097]], "species": ["S", "Dy", "Dy", "Ir", "Ir", "Lu", "Dy", "Dy", "Dy", "Lu", "S"], "fractional_positions": [[0.1445, 0.1445, 0.0000], [0.0132, 0.8934, 0.1198], [0.0952, 0.7335, 0.3617], [0.6496, 0.4102, 0.2394], [0.1708, 0.4102, 0.7606], [0.7876, 0.1069, 0.6807], [0.3718, 0.7335, 0.6383], [0.7735, 0.8934, 0.8802], [0.4819, 0.4819, 0.0000], [0.4262, 0.1069, 0.3193], [0.7317, 0.2317, 0.5000]], "total_energy_ev_per_atom": -6.39, "sg": "Imm2 (44)"}

{"formula": "Dy5Lu2Te2Ir2", "functional": "PBE", "state": "optimized geometry", "cell": [[2.9030, -1.0977, 8.8467], [-8.1150, 4.3966, -1.6470], [5.6353, -7.3919, 1.2244]], "species": ["Ir", "Lu", "Dy", "Dy", "Dy", "Te", "Ir", "Te", "Dy", "Dy", "Lu"], "fractional_positions": [[0.3623, 0.5992, 0.7630], [0.6065, 0.2542, 0.3524], [0.5814, 0.8967, 0.6846], [0.9735, 0.1044, 0.8691], [0.2353, 0.1044, 0.1309], [0.8572, 0.8572, 0.0000], [0.8362, 0.5992, 0.2370], [0.2614, 0.7614, 0.5000], [0.5262, 0.5262, 0.0000], [0.2121, 0.8967, 0.3154], [0.9018, 0.2542, 0.6476]], "polymorph_energy_ev_per_atom": 0.024, "total_energy_ev_per_atom": -6.01, "sg": "Imm2 (44)"}

{"formula": "DyLu6Te2Ir2", "functional": "PBE", "state": "optimized geometry", "cell": [[-0.0123, 4.9647, 7.7920], [-7.0105, 0.8349, -5.9599], [4.7533, -3.8695, 6.9136]], "species": ["Lu", "Dy", "Ir", "Te", "Lu", "Lu", "Lu", "Lu", "Lu", "Te", "Ir"], "fractional_positions": [[0.5936, 0.7428, 0.8508], [0.9753, 0.4753, 0.5000], [0.1440, 0.4048, 0.7392], [0.6383, 0.1383, 0.5000], [0.2895, 0.1044, 0.1850], [0.8920, 0.7428, 0.1492], [0.9194, 0.1044, 0.8150], [0.5256, 0.8932, 0.6324], [0.2608, 0.8932, 0.3676], [0.2422, 0.2422, 0.0000], [0.6655, 0.4048, 0.2608]], "total_energy_ev_per_atom": -6.01, "sg": "Imm2 (44)"}

{"formula": "Dy4Lu3Te2Ir2", "functional": "PBE", "state": "optimized geometry", "cell": [[2.6771, -7.3986, -5.0371], [-2.0419, -1.0585, 9.0548], [-1.8628, 0.7316, -9.1254]], "species": ["Te", "Dy", "Ir", "Lu", "Te", "Dy", "Dy", "Ir", "Dy", "Lu", "Lu"], "fractional_positions": [[0.8635, 0.8635, 0.0000], [0.5790, 0.8962, 0.6829], [0.3536, 0.5946, 0.7590], [0.2388, 0.1065, 0.1323], [0.2568, 0.7568, 0.5000], [0.2133, 0.8962, 0.3171], [0.6107, 0.2575, 0.3532], [0.8356, 0.5946, 0.2410], [0.9043, 0.2575, 0.6468], [0.5241, 0.5241, 0.0000], [0.9741, 0.1065, 0.8677]], "polymorph_energy_ev_per_atom": 0.019, "total_energy_ev_per_atom": -5.99, "sg": "Imm2 (44)"}

{"formula": "Dy2Lu5Te2Ir2", "functional": "PBE", "state": "optimized geometry", "cell": [[-1.9414, 7.7658, 4.6824], [1.9414, -7.7658, 4.6824], [1.9414, 7.7658, -4.6824]], "species": ["Te", "Lu", "Ir", "Lu", "Lu", "Te", "Ir", "Dy", "Lu", "Dy", "Lu"], "fractional_positions": [[0.2428, 0.2428, 0.0000], [0.5979, 0.7448, 0.8530], [0.6630, 0.4022, 0.2608], [0.2626, 0.8946, 0.3680], [0.8918, 0.7448, 0.1470], [0.6380, 0.1380, 0.5000], [0.1413, 0.4022, 0.7392], [0.9205, 0.1042, 0.8163], [0.5267, 0.8946, 0.6320], [0.2880, 0.1042, 0.1837], [0.9736, 0.4736, 0.5000]], "polymorph_energy_ev_per_atom": 0.025, "total_energy_ev_per_atom": -5.98, "sg": "Imm2 (44)"}

{"formula": "Dy2Lu5Te2Ir2", "functional": "PBE", "state": "optimized geometry", "cell": [[3.7929, 6.3268, 5.6064], [-8.5976, 1.2721, -3.2106], [6.4605, -3.4082, 5.7000]], "species": ["Lu", "Lu", "Te", "Ir", "Te", "Lu", "Lu", "Dy", "Lu", "Ir", "Dy"], "fractional_positions": [[0.5794, 0.8955, 0.6839], [0.2402, 0.1077, 0.1326], [0.2588, 0.7588, 0.5000], [0.3530, 0.5928, 0.7601], [0.8633, 0.8633, 0.0000], [0.9751, 0.1077, 0.8674], [0.2116, 0.8955, 0.3161], [0.6104, 0.2580, 0.3523], [0.5238, 0.5238, 0.0000], [0.8327, 0.5928, 0.2399], [0.9057, 0.2580, 0.6477]], "polymorph_energy_ev_per_atom": 0.000, "total_energy_ev_per_atom": -6.00, "sg": "Imm2 (44)"}

{"formula": "Dy4Lu3Te2Ir2", "functional": "PBE", "state": "optimized geometry", "cell": [[-1.9491, 7.8165, 4.7453], [1.9491, -7.8165, 4.7453], [1.9491, 7.8165, -4.7453]], "species": ["Dy", "Dy", "Dy", "Ir", "Lu", "Te", "Te", "Dy", "Lu", "Lu", "Ir"], "fractional_positions": [[0.2349, 0.1042, 0.1308], [0.9734, 0.1042, 0.8692], [0.2121, 0.8968, 0.3153], [0.3636, 0.5997, 0.7639], [0.8978, 0.2521, 0.6458], [0.8575, 0.8575, 0.0000], [0.2633, 0.7633, 0.5000], [0.5815, 0.8968, 0.6847], [0.5277, 0.5277, 0.0000], [0.6063, 0.2521, 0.3542], [0.8358, 0.5997, 0.2361]], "polymorph_energy_ev_per_atom": 0.023, "total_energy_ev_per_atom": -5.99, "sg": "Imm2 (44)"}

{"formula": "Dy4Lu3Te2Ir2", "functional": "PBE", "state": "optimized geometry", "cell": [[-1.9601, 7.8142, 4.6968], [1.9601, -7.8142, 4.6968], [1.9601, 7.8142, -4.6968]], "species": ["Lu", "Te", "Ir", "Lu", "Dy", "Dy", "Dy", "Lu", "Ir", "Te", "Dy"], "fractional_positions": [[0.0254, 0.5254, 0.5000], [0.3591, 0.8591, 0.5000], [0.3304, 0.5929, 0.7376], [0.7120, 0.8968, 0.8152], [0.7380, 0.1070, 0.6310], [0.4030, 0.2557, 0.1473], [0.4760, 0.1070, 0.3690], [0.0817, 0.8968, 0.1848], [0.8553, 0.5929, 0.2624], [0.7645, 0.7645, 0.0000], [0.1084, 0.2557, 0.8527]], "polymorph_energy_ev_per_atom": 0.000, "total_energy_ev_per_atom": -6.01, "sg": "Imm2 (44)"}

{"formula": "Dy6LuTe2Ir2", "functional": "PBE", "state": "optimized geometry", "cell": [[-5.5638, -6.6455, 3.6066], [7.2769, 3.1318, 5.0365], [-8.7416, 0.1312, -3.4196]], "species": ["Lu", "Dy", "Dy", "Te", "Dy", "Dy", "Dy", "Ir", "Dy", "Te", "Ir"], "fractional_positions": [[0.4745, 0.4745, 0.0000], [0.7635, 0.8944, 0.8691], [0.7863, 0.1026, 0.6836], [0.1411, 0.1411, 0.0000], [0.4190, 0.1026, 0.3164], [0.0253, 0.8944, 0.1309], [0.3912, 0.7449, 0.6463], [0.1661, 0.4044, 0.7617], [0.0986, 0.7449, 0.3537], [0.7379, 0.2379, 0.5000], [0.6426, 0.4044, 0.2383]], "total_energy_ev_per_atom": -6.00, "sg": "Imm2 (44)"}

{"formula": "Dy5Lu2Te2Ir2", "functional": "PBE", "state": "optimized geometry", "cell": [[-1.9646, 7.8627, 4.6797], [1.9646, -7.8627, 4.6797], [1.9646, 7.8627, -4.6797]], "species": ["Dy", "Ir", "Te", "Lu", "Ir", "Dy", "Dy", "Dy", "Dy", "Lu", "Te"], "fractional_positions": [[0.0937, 0.7412, 0.3524], [0.1643, 0.4057, 0.7585], [0.7442, 0.2442, 0.5000], [0.7609, 0.8934, 0.8675], [0.6472, 0.4057, 0.2415], [0.3888, 0.7412, 0.6476], [0.7874, 0.1041, 0.6833], [0.4208, 0.1041, 0.3167], [0.4767, 0.4767, 0.0000], [0.0258, 0.8934, 0.1325], [0.1363, 0.1363, 0.0000]], "polymorph_energy_ev_per_atom": 0.019, "total_energy_ev_per_atom": -6.02, "sg": "Imm2 (44)"}

{"formula": "Dy5Lu2Te2Ir2", "functional": "PBE", "state": "optimized geometry", "cell": [[7.2396, -3.7229, -4.5787], [1.4931, 4.8323, 7.8522], [-2.1929, -7.5310, -5.0707]], "species": ["Te", "Dy", "Dy", "Ir", "Lu", "Dy", "Ir", "Te", "Dy", "Lu", "Dy"], "fractional_positions": [[0.7383, 0.2383, 0.5000], [0.3908, 0.7423, 0.6485], [0.0939, 0.7423, 0.3515], [0.6451, 0.4069, 0.2382], [0.4183, 0.1029, 0.3154], [0.4764, 0.4764, 0.0000], [0.1687, 0.4069, 0.7618], [0.1411, 0.1411, 0.0000], [0.0244, 0.8931, 0.1314], [0.7875, 0.1029, 0.6846], [0.7617, 0.8931, 0.8686]], "polymorph_energy_ev_per_atom": 0.000, "total_energy_ev_per_atom": -6.03, "sg": "Imm2 (44)"}

{"formula": "Dy2Lu5Te2Ir2", "functional": "PBE", "state": "optimized geometry", "cell": [[-7.2662, -5.2117, 2.3948], [7.0200, 0.9239, 5.9633], [-7.8460, 2.4727, -4.2451]], "species": ["Lu", "Te", "Ir", "Te", "Lu", "Lu", "Dy", "Lu", "Dy", "Ir", "Lu"], "fractional_positions": [[0.9180, 0.1039, 0.8141], [0.2343, 0.2343, 0.0000], [0.1395, 0.4039, 0.7356], [0.6422, 0.1422, 0.5000], [0.8938, 0.7468, 0.1470], [0.9726, 0.4726, 0.5000], [0.2630, 0.8939, 0.3691], [0.5999, 0.7468, 0.8530], [0.5248, 0.8939, 0.6309], [0.6683, 0.4039, 0.2644], [0.2898, 0.1039, 0.1859]], "polymorph_energy_ev_per_atom": 0.004, "total_energy_ev_per_atom": -6.00, "sg": "Imm2 (44)"}

{"formula": "DyMgIr", "functional": "PBE", "state": "optimized geometry", "cell": [[0.0000, 3.2921, 3.2921], [3.2921, 0.0000, 3.2921], [3.2921, 3.2921, 0.0000]], "species": ["Ir", "Dy", "Mg"], "fractional_positions": [[0.2500, 0.2500, 0.2500], [0.0000, 0.0000, 0.0000], [0.7500, 0.7500, 0.7500]], "total_energy_ev_per_atom": -4.82, "sg": "F-43m (216)"}

{"formula": "DyMgIr", "functional": "PBE", "state": "optimized geometry", "cell": [[7.0600, 0.0000, 0.0000], [0.0000, 4.0944, 0.0000], [0.0000, 0.0000, 8.5070]], "species": ["Ir", "Ir", "Ir", "Mg", "Dy", "Mg", "Mg", "Dy", "Ir", "Dy", "Dy", "Mg"], "fractional_positions": [[0.7498, 0.2500, 0.1305], [0.2498, 0.2500, 0.3695], [0.2502, 0.7500, 0.8695], [0.3653, 0.2500, 0.0585], [0.9600, 0.2500, 0.8259], [0.8653, 0.2500, 0.4415], [0.6347, 0.7500, 0.9415], [0.5400, 0.7500, 0.3259], [0.7502, 0.7500, 0.6305], [0.0400, 0.7500, 0.1741], [0.4600, 0.2500, 0.6741], [0.1347, 0.7500, 0.5585]], "total_energy_ev_per_atom": -5.69, "sg": "Pnma (62)"}

{"formula": "Nd2DyMg3Ir3", "functional": "PBE", "state": "optimized geometry", "cell": [[-2.6011, 2.8418, -1.4487], [-5.2924, -2.5996, 4.4027], [4.4785, 5.3228, 2.4004]], "species": ["Mg", "Ir", "Mg", "Ir", "Mg", "Ir", "Nd", "Dy", "Nd"], "fractional_positions": [[0.5000, 0.7569, 0.9973], [0.5000, 0.3394, 0.6635], [0.5000, 0.2435, 0.2435], [0.0000, 0.9946, 0.9946], [0.5000, 0.9973, 0.7569], [0.5000, 0.6635, 0.3394], [0.0000, 0.4121, 0.0000], [0.0000, 0.5926, 0.5926], [0.0000, 0.0000, 0.4121]], "total_energy_ev_per_atom": -5.66, "sg": "Amm2 (38)"}

{"formula": "Nd2DyMg3Ir2Pd", "functional": "PBE", "state": "optimized geometry", "cell": [[-0.4597, -2.4121, -3.2444], [-5.9044, -3.1992, 3.2151], [-0.9490, 5.9900, -4.3189]], "species": ["Pd", "Nd", "Nd", "Ir", "Dy", "Ir", "Mg", "Mg", "Mg"], "fractional_positions": [[0.0000, 0.9947, 0.9947], [0.0000, 0.4177, 0.9992], [0.0000, 0.9992, 0.4177], [0.5000, 0.3404, 0.6638], [0.0000, 0.5854, 0.5854], [0.5000, 0.6638, 0.3404], [0.5000, 0.2482, 0.2482], [0.5000, 0.7533, 0.9973], [0.5000, 0.9973, 0.7533]], "total_energy_ev_per_atom": -5.28, "sg": "Amm2 (38)"}